1.
Below is Ba2TaCr after structural relaxation, with properties calculated at the PBE-GGA level.

Values from the calculation:
For the total energy, the calculation gives -5.047 eV/atom. The value obtained for the density of states at the Fermi level is 4.7 states/eV per cell.

abc: 6.089 6.089 3.485
angles: 90.00 90.00 102.16
Element x y z (fractional)
Ba  0.000  0.500  0.000
Ba  0.500  0.000  0.000
Ta  0.000  0.000  0.500
Cr  0.500  0.500  0.500

---

2.
Below is BaZrTaCr2 after structural relaxation, with properties calculated at the PBE-GGA level.

Values from the calculation:
For the total energy, the calculation gives -7.257 eV/atom. The value obtained for the density of states at the Fermi level is 5.4 states/eV per cell.

abc: 5.087 5.087 5.184
angles: 90.00 90.00 90.00
Element x y z (fractional)
Ba  0.000  0.000  0.000
Zr  0.500  0.500  0.000
Ta  0.500  0.500  0.500
Cr  0.000  0.500  0.500
Cr  0.500  0.000  0.500